one | 4
Lattice="4.341 -1.610 0.000 4.341 1.610 0.000 -1.182 0.000 4.266" Properties=species:S:1:pos:R:3 comment="ReSi2Ag | Alexandria via LeMat-Bulk | PBE | optimized geometry" density_g_cm3=9.75 m_tot_mub_per_atom=0.00 pbc="T T T"
Re 0.000 0.000 0.000
Si 3.668 0.000 1.821
Si 6.191 0.000 0.320
Ag 1.306 0.000 2.583



two | 4
Lattice="-2.010 2.010 3.603 2.010 -2.010 3.603 2.010 2.010 -3.603" Properties=species:S:1:pos:R:3 comment="ReSi2Ag | Alexandria via LeMat-Bulk | PBE | optimized geometry" density_g_cm3=9.99 m_tot_mub_per_atom=0.00 pbc="T T T"
Re 0.000 0.000 0.000
Si 2.010 0.000 1.801
Si 0.000 2.010 1.801
Ag 0.000 0.000 3.603



three | 4
Lattice="2.888 0.000 0.000 0.000 4.180 0.000 0.000 0.000 5.141" Properties=species:S:1:pos:R:3 comment="ReSi2Ag | Alexandria via LeMat-Bulk | PBE | optimized geometry" density_g_cm3=9.37 m_tot_mub_per_atom=0.00 pbc="T T T"
Re 0.000 0.000 0.000
Si 0.000 2.090 2.570
Si 1.444 2.090 0.000
Ag 1.444 0.000 2.570



four | 4
Lattice="4.091 -1.508 0.000 4.091 1.508 0.000 -0.727 0.000 5.137" Properties=species:S:1:pos:R:3 comment="ReSi2Ag | Alexandria via LeMat-Bulk | PBE | optimized geometry" density_g_cm3=9.18 m_tot_mub_per_atom=0.00 pbc="T T T"
Re 0.000 0.000 0.000
Si 1.613 0.000 4.182
Si 5.841 0.000 0.955
Ag 3.727 0.000 2.568



Most favorable structure: one. The second most favorable one is 0.028 eV/atom above it.



one | 4
Lattice="3.123 0.000 0.000 0.000 3.123 0.000 0.000 0.000 6.126" Properties=species:S:1:pos:R:3 comment="ReSi2Ag | Alexandria via LeMat-Bulk | PBE | optimized geometry" density_g_cm3=9.74 m_tot_mub_per_atom=0.00 pbc="T T T"
Re 0.000 0.000 0.000
Si 1.561 1.561 1.333
Si 1.561 1.561 4.792
Ag 0.000 0.000 3.063



two | 4
Lattice="2.881 -4.153 0.000 2.881 4.153 0.000 -1.281 0.000 2.592" Properties=species:S:1:pos:R:3 comment="ReSi2Ag | Alexandria via LeMat-Bulk | PBE | optimized geometry" density_g_cm3=9.38 m_tot_mub_per_atom=0.00 pbc="T T T"
Re 0.000 0.000 0.000
Si 1.440 2.076 0.000
Si 1.440 -2.076 0.000
Ag 2.881 0.000 0.000



three | 4
Lattice="1.468 0.848 8.137 -1.468 0.848 8.137 0.000 -1.695 8.137" Properties=species:S:1:pos:R:3 comment="ReSi2Ag | Alexandria via LeMat-Bulk | PBE | optimized geometry" density_g_cm3=9.57 m_tot_mub_per_atom=0.00 pbc="T T T"
Re 0.000 0.000 0.000
Si 0.000 0.000 11.788
Si 0.000 0.000 18.066
Ag 0.000 0.000 5.729



four | 8
Lattice="-2.827 2.827 5.542 2.827 -2.827 5.542 2.827 2.827 -5.542" Properties=species:S:1:pos:R:3 comment="ReSi2Ag | Alexandria via LeMat-Bulk | PBE | optimized geometry" density_g_cm3=6.57 m_tot_mub_per_atom=0.00 pbc="T T T"
Re 0.000 0.000 0.000
Re 0.000 2.827 2.771
Si 4.240 1.229 -1.386
Si 1.229 1.413 1.386
Si -1.413 1.598 4.157
Si 1.598 1.413 6.928
Ag 2.827 0.000 2.771
Ag 0.000 0.000 5.542



Most favorable structure: one. The second most favorable one is 0.199 eV/atom above it.



one | 4
Lattice="0.000 3.127 3.127 3.127 0.000 3.127 3.127 3.127 0.000" Properties=species:S:1:pos:R:3 comment="ReSi2Ag | Alexandria via LeMat-Bulk | PBE | optimized geometry" density_g_cm3=9.51 m_tot_mub_per_atom=0.00 pbc="T T T"
Re 0.000 0.000 0.000
Si 1.563 1.563 1.563
Si 3.127 3.127 3.127
Ag 4.690 4.690 4.690



two | 4
Lattice="4.325 0.000 0.000 0.000 2.913 0.000 -1.961 0.000 4.715" Properties=species:S:1:pos:R:3 comment="ReSi2Ag | Alexandria via LeMat-Bulk | PBE | optimized geometry" density_g_cm3=9.79 m_tot_mub_per_atom=0.00 pbc="T T T"
Re 0.000 0.000 0.000
Si 1.182 0.000 2.358
Si 2.162 1.456 0.000
Ag -0.980 1.456 2.358



Most favorable structure: two. The second most favorable one is 0.460 eV/atom above it.



one | 4
Lattice="-1.866 1.866 4.210 1.866 -1.866 4.210 1.866 1.866 -4.210" Properties=species:S:1:pos:R:3 comment="ReSi2Ag | Alexandria via LeMat-Bulk | PBE | optimized geometry" density_g_cm3=9.92 m_tot_mub_per_atom=0.10 pbc="T T T"
Re 0.000 0.000 0.000
Si 1.866 0.000 2.105
Si 0.000 0.000 4.210
Ag 0.000 1.866 2.105



two | 4
Lattice="1.472 0.850 8.250 -1.472 0.850 8.250 0.000 -1.700 8.250" Properties=species:S:1:pos:R:3 comment="ReSi2Ag | Alexandria via LeMat-Bulk | PBE | optimized geometry" density_g_cm3=9.39 m_tot_mub_per_atom=0.00 pbc="T T T"
Re 0.000 0.000 0.000
Si 0.000 0.000 6.390
Si 0.000 0.000 18.361
Ag 0.000 0.000 12.375



Most favorable structure: two. The second most favorable one is 0.332 eV/atom above it.



one | 4
Lattice="0.000 3.090 3.090 3.090 0.000 3.090 3.090 3.090 0.000" Properties=species:S:1:pos:R:3 comment="ReSi2Ag | Alexandria via LeMat-Bulk | PBE | optimized geometry" density_g_cm3=9.86 m_tot_mub_per_atom=0.00 pbc="T T T"
Re 0.000 0.000 0.000
Si 1.545 1.545 1.545
Si 4.634 4.634 4.634
Ag 3.090 3.090 3.090



two | 4
Lattice="1.626 -2.232 0.000 1.626 2.232 0.000 0.000 0.000 8.443" Properties=species:S:1:pos:R:3 comment="ReSi2Ag | Alexandria via LeMat-Bulk | PBE | optimized geometry" density_g_cm3=9.49 m_tot_mub_per_atom=0.00 pbc="T T T"
Re 0.000 0.000 0.000
Si 0.000 0.000 4.630
Si 1.626 0.000 6.593
Ag 1.626 0.000 2.420



Most favorable structure: one. The second most favorable one is 0.031 eV/atom above it.



one | 4
Lattice="4.305 0.000 0.000 0.000 4.305 0.000 0.000 0.000 3.134" Properties=species:S:1:pos:R:3 comment="ReSi2Ag | Alexandria via LeMat-Bulk | PBE | optimized geometry" density_g_cm3=10.02 m_tot_mub_per_atom=0.00 pbc="T T T"
Re 0.000 0.000 0.000
Si 0.000 2.152 1.567
Si 2.152 0.000 1.567
Ag 2.152 2.152 0.000



two | 4
Lattice="2.788 0.000 0.000 0.000 2.788 0.000 0.000 0.000 7.916" Properties=species:S:1:pos:R:3 comment="ReSi2Ag | Alexandria via LeMat-Bulk | PBE | optimized geometry" density_g_cm3=9.45 m_tot_mub_per_atom=0.00 pbc="T T T"
Re 0.000 0.000 0.000
Si 0.000 0.000 3.593
Si 1.394 1.394 1.635
Ag 1.394 1.394 5.717



Most favorable structure: one. The second most favorable one is 0.147 eV/atom above it.



one | 4
Lattice="3.338 0.000 0.000 0.000 3.338 0.000 0.000 0.000 5.296" Properties=species:S:1:pos:R:3 comment="ReSi2Ag | Alexandria via LeMat-Bulk | PBE | optimized geometry" density_g_cm3=9.86 m_tot_mub_per_atom=0.00 pbc="T T T"
Re 0.000 0.000 0.000
Si 0.000 0.000 2.430
Si 1.669 1.669 0.921
Ag 1.669 1.669 3.500



two | 4
Lattice="-1.358 2.007 6.177 1.358 -2.007 6.177 1.358 2.007 -6.177" Properties=species:S:1:pos:R:3 comment="ReSi2Ag | Alexandria via LeMat-Bulk | PBE | optimized geometry" density_g_cm3=8.64 m_tot_mub_per_atom=0.00 pbc="T T T"
Re 0.000 0.000 0.000
Si 1.358 0.000 2.165
Si 0.000 0.000 5.753
Ag 0.000 2.007 3.473



Most favorable structure: one. The second most favorable one is 0.092 eV/atom above it.



one | 4
Lattice="3.130 0.000 0.000 0.000 2.842 0.000 -0.121 0.000 7.330" Properties=species:S:1:pos:R:3 comment="ReSi2Ag | Alexandria via LeMat-Bulk | PBE | optimized geometry" density_g_cm3=8.92 m_tot_mub_per_atom=0.00 pbc="T T T"
Re 0.000 0.000 0.000
Si 1.443 1.421 5.896
Si 1.566 1.421 1.434
Ag 1.504 0.000 3.665



two | 4
Lattice="1.510 -2.442 0.000 1.510 2.442 0.000 0.000 0.000 8.633" Properties=species:S:1:pos:R:3 comment="ReSi2Ag | Alexandria via LeMat-Bulk | PBE | optimized geometry" density_g_cm3=9.14 m_tot_mub_per_atom=0.00 pbc="T T T"
Re 0.000 0.000 0.000
Si 1.510 0.000 1.932
Si 1.510 0.000 6.701
Ag 0.000 0.000 4.317



Most favorable structure: one. The second most favorable one is 0.233 eV/atom above it.



one | 5
Lattice="5.054 0.000 0.000 0.000 5.054 0.000 0.000 0.000 5.054" Properties=species:S:1:pos:R:3 comment="ReSiAg3 | Alexandria via LeMat-Bulk | PBE | optimized geometry" density_g_cm3=6.92 m_tot_mub_per_atom=0.34 pbc="T T T"
Re 0.000 0.000 0.000
Si 2.527 2.527 2.527
Ag 0.000 0.000 2.527
Ag 0.000 2.527 0.000
Ag 2.527 0.000 0.000



two | 5
Lattice="4.685 0.000 0.000 0.000 4.685 0.000 0.000 0.000 4.685" Properties=species:S:1:pos:R:3 comment="ReSiAg3 | Alexandria via LeMat-Bulk | PBE | optimized geometry" density_g_cm3=8.69 m_tot_mub_per_atom=0.78 pbc="T T T"
Re 0.000 0.000 0.000
Si 2.342 2.342 2.342
Ag 0.000 2.342 2.342
Ag 2.342 0.000 2.342
Ag 2.342 2.342 0.000



Most favorable structure: two. The second most favorable one is 0.530 eV/atom above it.



one | 5
Lattice="5.239 0.000 0.000 0.000 5.239 0.000 0.000 0.000 5.239" Properties=species:S:1:pos:R:3 comment="ReAgSn3 | Alexandria via LeMat-Bulk | PBE | optimized geometry" density_g_cm3=7.51 m_tot_mub_per_atom=0.67 pbc="T T T"
Re 0.000 0.000 0.000
Ag 2.619 2.619 2.619
Sn 0.000 2.619 2.619
Sn 2.619 0.000 2.619
Sn 2.619 2.619 0.000



two | 5
Lattice="5.199 0.000 0.000 0.000 5.199 0.000 0.000 0.000 5.199" Properties=species:S:1:pos:R:3 comment="ReAgSn3 | Alexandria via LeMat-Bulk | PBE | optimized geometry" density_g_cm3=7.68 m_tot_mub_per_atom=0.00 pbc="T T T"
Re 0.000 0.000 0.000
Ag 2.599 2.599 2.599
Sn 0.000 0.000 2.599
Sn 0.000 2.599 0.000
Sn 2.599 0.000 0.000



Most favorable structure: two. The second most favorable one is 1.025 eV/atom above it.



one | 4
Lattice="1.827 -2.040 0.000 1.827 2.040 0.000 0.000 0.000 9.887" Properties=species:S:1:pos:R:3 comment="SrRe2Ag | Alexandria via LeMat-Bulk | PBE | optimized geometry" density_g_cm3=12.79 m_tot_mub_per_atom=0.00 pbc="T T T"
Sr 0.000 0.000 0.000
Re 1.827 0.000 2.703
Re 1.827 0.000 7.184
Ag 0.000 0.000 4.943



two | 8
Lattice="-2.240 2.240 10.006 2.240 -2.240 10.006 2.240 2.240 -10.006" Properties=species:S:1:pos:R:3 comment="SrRe2Ag | Alexandria via LeMat-Bulk | PBE | optimized geometry" density_g_cm3=9.39 m_tot_mub_per_atom=0.00 pbc="T T T"
Sr 0.000 0.000 0.000
Sr 0.000 2.240 5.003
Re 1.120 1.858 -2.501
Re 2.622 1.120 2.501
Re 1.120 0.382 7.504
Re -0.382 1.120 12.507
Ag 2.240 0.000 5.003
Ag 0.000 0.000 10.006



Most favorable structure: one. The second most favorable one is 0.139 eV/atom above it.



one | 4
Lattice="3.537 0.000 0.000 0.000 3.537 0.000 0.000 0.000 7.007" Properties=species:S:1:pos:R:3 comment="SrRe2Ag | Alexandria via LeMat-Bulk | PBE | optimized geometry" density_g_cm3=10.75 m_tot_mub_per_atom=0.00 pbc="T T T"
Sr 0.000 0.000 0.000
Re 1.769 1.769 2.353
Re 1.769 1.769 4.654
Ag 0.000 0.000 3.504



two | 4
Lattice="1.423 0.822 10.451 -1.423 0.822 10.451 0.000 -1.643 10.451" Properties=species:S:1:pos:R:3 comment="SrRe2Ag | Alexandria via LeMat-Bulk | PBE | optimized geometry" density_g_cm3=12.86 m_tot_mub_per_atom=0.08 pbc="T T T"
Sr 0.000 0.000 0.000
Re 0.000 0.000 7.621
Re 0.000 0.000 23.733
Ag 0.000 0.000 15.677



three | 4
Lattice="3.150 0.000 0.000 0.000 3.165 0.000 0.000 0.000 8.160" Properties=species:S:1:pos:R:3 comment="SrRe2Ag | Alexandria via LeMat-Bulk | PBE | optimized geometry" density_g_cm3=11.59 m_tot_mub_per_atom=0.00 pbc="T T T"
Sr 0.000 0.000 0.000
Re 0.000 0.000 4.446
Re 1.575 1.583 5.713
Ag 1.575 1.583 2.501



four | 4
Lattice="5.931 -1.414 0.000 5.931 1.414 0.000 -1.850 0.000 4.530" Properties=species:S:1:pos:R:3 comment="SrRe2Ag | Alexandria via LeMat-Bulk | PBE | optimized geometry" density_g_cm3=12.41 m_tot_mub_per_atom=0.00 pbc="T T T"
Sr 0.000 0.000 0.000
Re 1.362 0.000 3.300
Re 8.649 0.000 1.230
Ag 5.005 0.000 2.265



Most favorable structure: three. The second most favorable one is 0.433 eV/atom above it.